Record 1
DFT (PBE-GGA) results for an optimized crystal structure of Ni2SbRu. Values from VASP.

Geometry as Quantum ESPRESSO input:
```
&SYSTEM
  ibrav = 0, nat = 8, ntyp = 3
/
ATOMIC_SPECIES
Ni 58.69 Ni.upf
Sb 121.76 Sb.upf
Ru 101.07 Ru.upf
ATOMIC_POSITIONS crystal
Ni 0.875 0.857 0.750
Ni 0.375 0.393 0.750
Ni 0.607 0.125 0.250
Ni 0.143 0.625 0.250
Sb 0.750 0.250 0.500
Sb 0.000 0.000 0.000
Ru 0.500 0.500 0.000
Ru 0.250 0.750 0.500
CELL_PARAMETERS angstrom
-0.577 -2.963 2.203
1.357 -2.244 -2.663
8.568 -1.678 3.156
```

* energy relative to the elements, uncorrected: 0.379 eV/atom

---

Record 2
DFT (PBE-GGA) results for an optimized crystal structure of GaBi3Mo. Values from VASP.

Geometry as Quantum ESPRESSO input:
```
&SYSTEM
  ibrav = 0, nat = 5, ntyp = 3
/
ATOMIC_SPECIES
Bi 208.98 Bi.upf
Mo 95.94 Mo.upf
Ga 69.72 Ga.upf
ATOMIC_POSITIONS crystal
Bi 0.000 0.500 0.000
Bi 0.500 0.000 0.000
Bi 0.000 0.000 0.500
Mo 0.000 0.000 0.000
Ga 0.500 0.500 0.500
CELL_PARAMETERS angstrom
5.427 0.000 0.000
0.000 5.427 0.000
0.000 0.000 5.427
```

* formation enthalpy at 0 K: 0.608 eV per atom
* energy above the most stable polymorph in this dataset: 0 meV per atom

---

Record 3
DFT (PBE-GGA) results for an optimized crystal structure of Rb2Ga2As2O. Values from VASP.

Geometry as Quantum ESPRESSO input:
```
&SYSTEM
  ibrav = 0, nat = 7, ntyp = 4
/
ATOMIC_SPECIES
Ga 69.72 Ga.upf
O 16.00 O.upf
As 74.92 As.upf
Rb 85.47 Rb.upf
ATOMIC_POSITIONS crystal
Ga 0.830 0.340 0.716
Ga 0.170 0.660 0.284
O 0.000 0.000 0.000
As 0.202 0.594 0.638
As 0.798 0.406 0.362
Rb 0.443 0.113 0.203
Rb 0.557 0.887 0.797
CELL_PARAMETERS angstrom
-1.416 -1.366 3.604
5.950 -3.339 3.415
6.565 3.120 3.766
```

* energy relative to the elements, uncorrected: -0.839 eV/atom

---

Record 4
DFT (PBE-GGA) results for an optimized crystal structure of UHgS2. Values from VASP.

Geometry as Quantum ESPRESSO input:
```
&SYSTEM
  ibrav = 0, nat = 4, ntyp = 3
/
ATOMIC_SPECIES
S 32.06 S.upf
Hg 200.59 Hg.upf
U 238.03 U.upf
ATOMIC_POSITIONS crystal
S 0.284 0.284 0.147
S 0.048 0.048 0.855
Hg 0.501 0.501 0.497
U 0.666 0.666 0.001
CELL_PARAMETERS angstrom
3.997 0.000 0.000
1.999 3.462 0.000
1.999 1.154 9.448
```

* energy above the most stable polymorph in this dataset: 0 meV per atom
* energy relative to the elements, uncorrected: -0.995 eV/atom

---

Record 5
DFT (PBE-GGA) results for an optimized crystal structure of TbMn9Si4. Values from VASP.

Geometry as Quantum ESPRESSO input:
```
&SYSTEM
  ibrav = 0, nat = 28, ntyp = 3
/
ATOMIC_SPECIES
Mn 54.94 Mn.upf
Tb 158.93 Tb.upf
Si 28.09 Si.upf
ATOMIC_POSITIONS crystal
Mn 0.204 0.704 0.647
Mn 0.057 0.796 0.353
Mn 0.442 0.690 0.000
Mn 0.058 0.190 0.000
Mn 0.190 0.942 0.000
Mn 0.704 0.443 0.647
Mn 0.810 0.058 0.000
Mn 0.690 0.558 0.000
Mn 0.796 0.296 0.353
Mn 0.557 0.057 0.353
Mn 0.443 0.943 0.647
Mn 0.942 0.810 0.000
Mn 0.296 0.557 0.353
Mn 0.558 0.310 0.000
Mn 0.310 0.442 0.000
Mn 0.000 0.500 0.000
Mn 0.943 0.204 0.647
Mn 0.500 0.000 0.000
Tb 0.250 0.250 0.500
Tb 0.750 0.750 0.500
Si 0.554 0.701 0.755
Si 0.299 0.799 0.245
Si 0.946 0.446 0.245
Si 0.446 0.299 0.245
Si 0.701 0.201 0.755
Si 0.201 0.054 0.755
Si 0.054 0.554 0.755
Si 0.799 0.946 0.245
CELL_PARAMETERS angstrom
0.082 -6.404 4.510
6.922 -2.051 -3.039
-0.782 7.209 3.448
```

* energy relative to the elements, uncorrected: -0.386 eV/atom

---

Record 6
DFT (PBE-GGA) results for an optimized crystal structure of TcNi2Hg. Values from VASP.

Geometry as Quantum ESPRESSO input:
```
&SYSTEM
  ibrav = 0, nat = 4, ntyp = 3
/
ATOMIC_SPECIES
Tc 98.00 Tc.upf
Hg 200.59 Hg.upf
Ni 58.69 Ni.upf
ATOMIC_POSITIONS crystal
Tc 0.250 0.250 0.250
Hg 0.750 0.750 0.750
Ni 0.994 0.994 0.994
Ni 0.506 0.506 0.506
CELL_PARAMETERS angstrom
8.785 -0.004 -0.002
8.343 2.751 -0.002
8.343 1.338 2.403
```

* formation enthalpy at 0 K: 0.303 eV per atom

---

Record 7
DFT (PBE-GGA) results for an optimized crystal structure of CdMo2Au. Values from VASP.

Geometry as Quantum ESPRESSO input:
```
&SYSTEM
  ibrav = 0, nat = 8, ntyp = 3
/
ATOMIC_SPECIES
Mo 95.94 Mo.upf
Cd 112.41 Cd.upf
Au 196.97 Au.upf
ATOMIC_POSITIONS crystal
Mo 0.103 0.625 0.250
Mo 0.375 0.353 0.750
Mo 0.647 0.125 0.250
Mo 0.875 0.897 0.750
Cd 0.250 0.750 0.500
Cd 0.500 0.500 0.000
Au 0.750 0.250 0.500
Au 0.000 0.000 0.000
CELL_PARAMETERS angstrom
5.971 0.000 0.000
0.000 5.971 0.000
2.985 2.985 5.882
```

* formation enthalpy at 0 K: 2.075 eV per atom

---

Record 8
DFT (PBE-GGA) results for an optimized crystal structure of Ca2YW. Values from VASP.

Geometry as Quantum ESPRESSO input:
```
&SYSTEM
  ibrav = 0, nat = 4, ntyp = 3
/
ATOMIC_SPECIES
Ca 40.08 Ca.upf
Y 88.91 Y.upf
W 183.84 W.upf
ATOMIC_POSITIONS crystal
Ca 0.763 0.763 0.725
Ca 0.998 0.998 0.024
Y 0.237 0.237 0.298
W 0.501 0.501 0.453
CELL_PARAMETERS angstrom
-3.255 3.971 1.762
-4.173 1.271 3.231
3.781 1.603 5.312
```

* formation enthalpy at 0 K: 0.698 eV per atom
* energy above the most stable polymorph in this dataset: 101 meV per atom

---

Record 9
DFT (PBE-GGA) results for an optimized crystal structure of PuZnTe2. Values from VASP.

Geometry as Quantum ESPRESSO input:
```
&SYSTEM
  ibrav = 0, nat = 4, ntyp = 3
/
ATOMIC_SPECIES
Te 127.60 Te.upf
Pu 244.00 Pu.upf
Zn 65.41 Zn.upf
ATOMIC_POSITIONS crystal
Te 0.901 0.901 0.298
Te 0.099 0.099 0.702
Pu 0.500 0.500 0.500
Zn 0.000 0.000 0.000
CELL_PARAMETERS angstrom
4.590 0.000 0.000
2.295 3.975 0.000
2.295 1.325 8.512
```

* energy relative to the elements, uncorrected: -0.464 eV/atom

---

Record 10
DFT (PBE-GGA) results for an optimized crystal structure of BaYZrF2. Values from VASP.

Geometry as Quantum ESPRESSO input:
```
&SYSTEM
  ibrav = 0, nat = 5, ntyp = 4
/
ATOMIC_SPECIES
Y 88.91 Y.upf
Ba 137.33 Ba.upf
F 19.00 F.upf
Zr 91.22 Zr.upf
ATOMIC_POSITIONS crystal
Y 0.500 0.500 0.500
Ba 0.000 0.500 0.000
F 0.000 0.000 0.500
F 0.500 0.000 0.000
Zr 0.000 0.000 0.000
CELL_PARAMETERS angstrom
-4.276 -0.981 0.462
0.806 -0.082 7.288
-0.970 4.301 0.155
```

* energy relative to the elements, uncorrected: -0.861 eV/atom

---

Record 11
DFT (PBE-GGA) results for an optimized crystal structure of EuTlAgBi. Values from VASP.

Geometry as Quantum ESPRESSO input:
```
&SYSTEM
  ibrav = 0, nat = 4, ntyp = 4
/
ATOMIC_SPECIES
Eu 151.96 Eu.upf
Tl 204.38 Tl.upf
Ag 107.87 Ag.upf
Bi 208.98 Bi.upf
ATOMIC_POSITIONS crystal
Eu 0.250 0.250 0.250
Tl 0.000 0.000 0.000
Ag 0.750 0.750 0.750
Bi 0.500 0.500 0.500
CELL_PARAMETERS angstrom
-4.296 -2.077 -2.570
0.243 -4.999 -2.081
-2.834 -4.022 2.273
```

* formation enthalpy at 0 K: -0.269 eV per atom

---

Record 12
DFT (PBE-GGA) results for an optimized crystal structure of AlC2. Values from VASP.

Geometry as Quantum ESPRESSO input:
```
&SYSTEM
  ibrav = 0, nat = 6, ntyp = 2
/
ATOMIC_SPECIES
C 12.01 C.upf
Al 26.98 Al.upf
ATOMIC_POSITIONS crystal
C 0.345 0.845 0.500
C 0.595 0.595 0.000
C 0.155 0.655 0.500
C 0.405 0.405 0.000
Al 0.000 0.000 0.000
Al 0.750 0.250 0.500
CELL_PARAMETERS angstrom
-1.801 1.801 3.962
1.801 -1.801 3.962
1.801 1.801 -3.962
```

* formation enthalpy at 0 K: 1.341 eV per atom
* energy above the most stable polymorph in this dataset: 1054 meV per atom

---

Record 13
DFT (PBE-GGA) results for an optimized crystal structure of BaPPd3. Values from VASP.

Geometry as Quantum ESPRESSO input:
```
&SYSTEM
  ibrav = 0, nat = 20, ntyp = 3
/
ATOMIC_SPECIES
Ba 137.33 Ba.upf
Pd 106.42 Pd.upf
P 30.97 P.upf
ATOMIC_POSITIONS crystal
Ba 0.326 0.916 0.213
Ba 0.826 0.584 0.287
Ba 0.174 0.416 0.713
Ba 0.674 0.084 0.787
Pd 0.885 0.830 0.005
Pd 0.752 0.960 0.467
Pd 0.252 0.540 0.033
Pd 0.717 0.666 0.702
Pd 0.248 0.040 0.533
Pd 0.615 0.330 0.505
Pd 0.385 0.670 0.495
Pd 0.283 0.334 0.298
Pd 0.115 0.170 0.995
Pd 0.783 0.166 0.202
Pd 0.217 0.834 0.798
Pd 0.748 0.460 0.967
P 0.033 0.790 0.577
P 0.533 0.710 0.923
P 0.467 0.290 0.077
P 0.967 0.210 0.423
CELL_PARAMETERS angstrom
5.595 0.000 0.000
0.000 7.763 0.121
0.000 -0.749 9.679
```

* formation enthalpy at 0 K: -0.586 eV per atom
* energy above the most stable polymorph in this dataset: 129 meV per atom

---

Record 14
DFT (PBE-GGA) results for an optimized crystal structure of PaGe2Mo3. Values from VASP.

Geometry as Quantum ESPRESSO input:
```
&SYSTEM
  ibrav = 0, nat = 12, ntyp = 3
/
ATOMIC_SPECIES
Ge 72.64 Ge.upf
Mo 95.94 Mo.upf
Pa 231.04 Pa.upf
ATOMIC_POSITIONS crystal
Ge 0.769 0.538 0.213
Ge 0.532 0.065 0.209
Ge 0.468 0.935 0.791
Ge 0.231 0.462 0.787
Mo 0.601 0.202 0.695
Mo 0.287 0.573 0.485
Mo 0.713 0.427 0.515
Mo 0.056 0.112 0.422
Mo 0.399 0.798 0.305
Mo 0.944 0.888 0.578
Pa 0.881 0.762 0.969
Pa 0.119 0.238 0.031
CELL_PARAMETERS angstrom
4.438 0.000 0.000
-2.219 8.199 -0.047
0.000 -3.762 5.924
```

* formation enthalpy at 0 K: -0.198 eV per atom

---

Record 15
DFT (PBE-GGA) results for an optimized crystal structure of Na3Sr4Tl. Values from VASP.

Geometry as Quantum ESPRESSO input:
```
&SYSTEM
  ibrav = 0, nat = 8, ntyp = 3
/
ATOMIC_SPECIES
Na 22.99 Na.upf
Sr 87.62 Sr.upf
Tl 204.38 Tl.upf
ATOMIC_POSITIONS crystal
Na 0.500 0.500 0.500
Na 0.500 0.500 0.236
Na 0.500 0.500 0.764
Sr 0.000 0.000 0.368
Sr 0.000 0.000 0.101
Sr 0.000 0.000 0.632
Sr 0.000 0.000 0.899
Tl 0.500 0.500 0.000
CELL_PARAMETERS angstrom
-3.460 0.208 2.426
2.373 -0.652 3.441
2.436 18.716 1.868
```

* formation enthalpy at 0 K: -0.094 eV per atom

---

Record 16
DFT (PBE-GGA) results for an optimized crystal structure of SrAg2Hg. Values from VASP.

Geometry as Quantum ESPRESSO input:
```
&SYSTEM
  ibrav = 0, nat = 4, ntyp = 3
/
ATOMIC_SPECIES
Ag 107.87 Ag.upf
Hg 200.59 Hg.upf
Sr 87.62 Sr.upf
ATOMIC_POSITIONS crystal
Ag 0.539 0.539 0.383
Ag 0.961 0.961 0.117
Hg 0.250 0.250 0.250
Sr 0.750 0.750 0.750
CELL_PARAMETERS angstrom
4.879 -0.071 0.080
2.482 4.201 0.080
2.394 1.343 5.132
```

* formation enthalpy at 0 K: -0.234 eV per atom

---

Record 17
DFT (PBE-GGA) results for an optimized crystal structure of Ba2Zn6CdCu. Values from VASP.

Geometry as Quantum ESPRESSO input:
```
&SYSTEM
  ibrav = 0, nat = 10, ntyp = 4
/
ATOMIC_SPECIES
Ba 137.33 Ba.upf
Cu 63.55 Cu.upf
Zn 65.41 Zn.upf
Cd 112.41 Cd.upf
ATOMIC_POSITIONS crystal
Ba 0.296 0.702 0.596
Ba 0.704 0.298 0.404
Cu 0.500 0.500 0.000
Zn 0.259 0.740 0.118
Zn 0.857 0.741 0.519
Zn 0.740 0.858 0.883
Zn 0.260 0.142 0.117
Zn 0.143 0.259 0.481
Zn 0.741 0.260 0.882
Cd 0.000 0.000 0.000
CELL_PARAMETERS angstrom
-2.580 0.456 -6.705
-1.018 -6.577 -0.057
-6.492 -2.355 -2.077
```

* formation enthalpy at 0 K: -0.165 eV per atom

---

Record 18
DFT (PBE-GGA) results for an optimized crystal structure of AcTbScTl. Values from VASP.

Geometry as Quantum ESPRESSO input:
```
&SYSTEM
  ibrav = 0, nat = 4, ntyp = 4
/
ATOMIC_SPECIES
Sc 44.96 Sc.upf
Ac 227.00 Ac.upf
Tb 158.93 Tb.upf
Tl 204.38 Tl.upf
ATOMIC_POSITIONS crystal
Sc 0.750 0.750 0.750
Ac 0.000 0.000 0.000
Tb 0.250 0.250 0.250
Tl 0.500 0.500 0.500
CELL_PARAMETERS angstrom
-4.286 1.586 3.084
-0.362 -1.619 5.258
0.731 3.652 4.066
```

* formation enthalpy at 0 K: 0.072 eV per atom

---

Record 19
DFT (PBE-GGA) results for an optimized crystal structure of Ga2SbP2. Values from VASP.

Geometry as Quantum ESPRESSO input:
```
&SYSTEM
  ibrav = 0, nat = 5, ntyp = 3
/
ATOMIC_SPECIES
Ga 69.72 Ga.upf
Sb 121.76 Sb.upf
P 30.97 P.upf
ATOMIC_POSITIONS crystal
Ga 0.353 0.353 0.294
Ga 0.647 0.647 0.706
Sb 0.000 0.000 0.000
P 0.250 0.750 0.500
P 0.750 0.250 0.500
CELL_PARAMETERS angstrom
-2.936 -2.816 -2.570
2.402 -3.885 1.514
-2.861 -3.665 2.780
```

* energy relative to the elements, uncorrected: 0.243 eV/atom

---

Record 20
DFT (PBE-GGA) results for an optimized crystal structure of IrRh3. Values from VASP.

Geometry as Quantum ESPRESSO input:
```
&SYSTEM
  ibrav = 0, nat = 4, ntyp = 2
/
ATOMIC_SPECIES
Ir 192.22 Ir.upf
Rh 102.91 Rh.upf
ATOMIC_POSITIONS crystal
Ir 0.000 0.000 0.000
Rh 0.000 0.000 0.500
Rh 0.005 0.005 0.753
Rh 0.995 0.995 0.247
CELL_PARAMETERS angstrom
4.714 -0.003 -0.003
3.930 2.604 -0.003
-9.427 -2.837 4.653
```

* formation enthalpy at 0 K: 0.012 eV per atom

---

no.,raw total energy (Ha/atom),size of the total moment (μB per formula unit)
1,-0.2154,0.00
2,-0.1651,0.00
3,-0.1476,0.00
4,-0.2189,2.00
5,-0.2999,6.50
6,-0.1931,0.00
7,-0.1613,0.00
8,-0.1895,0.00
9,-0.2182,5.94
10,-0.1836,1.55
11,-0.1879,7.10
12,-0.2226,0.00
13,-0.1899,0.00
14,-0.3210,0.00
15,-0.0634,0.00
16,-0.0792,0.00
17,-0.0667,0.00
18,-0.1576,1.39
19,-0.1454,0.00
20,-0.2836,0.00